# AlCrFe2 | the Alexandria database | PBEsol | optimized geometry
# DFT total energy, eV per atom: -8.08
# Polymorph energy (0 for the lowest one), eV/atom: 0.1675
# Total magnetization, μB/f.u.: 3.4
# Calculated formation energy, eV/atom: -0.01
data_AlCrFe2
_cell_length_a 2.974
_cell_length_b 3.985
_cell_length_c 7.700
_cell_angle_alpha 90.00
_cell_angle_beta 90.00
_cell_angle_gamma 90.00
_symmetry_space_group_name_H-M 'C m m m'
_symmetry_Int_Tables_number 65
_symmetry_space_group_name_Hall '-C 2 2'
loop_
_atom_site_label
_atom_site_type_symbol
_atom_site_fract_x
_atom_site_fract_y
_atom_site_fract_z
Al1 Al 0.000 0.000 0.000
Cr1 Cr 0.000 0.000 0.500
Fe1 Fe 0.000 0.500 0.255